Record 1
VASP calculation (PBE) on a geometry-optimized NbZn structure.

```
NbZn
1.0
4.403 0.000 0.000
0.000 6.766 0.000
0.000 0.000 4.393
Nb Zn
4 4
Direct
0.000 0.000 0.000
0.000 0.252 0.500
0.000 0.748 0.500
0.500 0.000 0.499
0.000 0.500 0.001
0.500 0.267 0.997
0.500 0.500 0.496
0.500 0.733 0.997
```

The mass density comes out at 8.04 g cm⁻³. As for the total energy: -5.683 eV per atom.

***

Record 2
VASP calculation (PBE) on a geometry-optimized Nb2Zn structure.

```
Nb2Zn
1.0
0.000 3.815 3.815
3.815 0.000 3.815
3.815 3.815 0.000
Nb Zn
4 2
Direct
0.000 0.000 0.000
0.000 0.000 0.500
0.000 0.500 0.000
0.500 0.000 0.000
0.375 0.375 0.375
0.625 0.625 0.625
```

The mass density comes out at 7.52 g cm⁻³. As for the total energy: -6.714 eV per atom.

***

Record 3
VASP calculation (PBE) on a geometry-optimized Nb2Zn structure.

```
Nb2Zn
1.0
0.000 5.732 5.732
5.732 0.000 5.732
5.732 5.732 0.000
Nb Zn
4 2
Direct
0.000 0.000 0.000
0.000 0.000 0.500
0.000 0.500 0.000
0.500 0.000 0.000
0.125 0.125 0.125
0.875 0.875 0.875
```

The mass density comes out at 2.21 g cm⁻³. As for the total energy: -3.672 eV per atom.

***

Record 4
VASP calculation (PBE) on a geometry-optimized NbZn structure.

```
NbZn
1.0
4.603 0.000 0.000
0.000 7.258 2.471
0.000 -7.258 2.471
Nb Zn
5 5
Direct
0.000 0.000 0.000
0.000 0.249 0.854
0.000 0.854 0.249
0.500 0.491 0.884
0.500 0.884 0.491
0.000 0.421 0.609
0.000 0.609 0.421
0.500 0.093 0.283
0.500 0.283 0.093
0.500 0.671 0.671
```

The mass density comes out at 7.96 g cm⁻³. As for the total energy: -5.622 eV per atom.

***

Record 5
VASP calculation (PBE) on a geometry-optimized NbZn structure.

```
NbZn
1.0
5.070 0.000 0.000
0.000 4.673 0.000
0.000 0.000 5.492
Nb Zn
4 4
Direct
0.125 0.250 0.121
0.375 0.750 0.621
0.625 0.250 0.379
0.875 0.750 0.879
0.094 0.250 0.628
0.406 0.750 0.128
0.594 0.250 0.872
0.906 0.750 0.372
```

The mass density comes out at 8.08 g cm⁻³. As for the total energy: -5.661 eV per atom.

***

Record 6
VASP calculation (PBE) on a geometry-optimized NbZn structure.

```
NbZn
1.0
2.602 0.000 0.000
0.000 4.912 0.000
0.000 0.000 5.259
Nb Zn
2 2
Direct
0.250 0.250 0.110
0.750 0.750 0.890
0.250 0.750 0.397
0.750 0.250 0.603
```

The mass density comes out at 7.82 g cm⁻³. As for the total energy: -5.564 eV per atom.

***

Record 7
VASP calculation (PBE) on a geometry-optimized NbZn2 structure.

```
NbZn2
1.0
0.000 3.558 3.558
3.558 0.000 3.558
3.558 3.558 0.000
Nb Zn
2 4
Direct
0.125 0.125 0.125
0.875 0.875 0.875
0.000 0.500 0.500
0.500 0.000 0.500
0.500 0.500 0.000
0.500 0.500 0.500
```

The mass density comes out at 8.25 g cm⁻³. As for the total energy: -4.366 eV per atom.

***

Record 8
VASP calculation (PBE) on a geometry-optimized NbZn structure.

```
NbZn
1.0
0.000 3.226 3.226
3.226 0.000 3.226
3.226 3.226 0.000
Nb Zn
2 2
Direct
0.125 0.125 0.125
0.875 0.875 0.875
0.375 0.375 0.375
0.625 0.625 0.625
```

The mass density comes out at 7.83 g cm⁻³. As for the total energy: -5.354 eV per atom.

***

Record 9
VASP calculation (PBE) on a geometry-optimized NbZn structure.

```
NbZn
1.0
4.980 0.000 0.000
0.000 4.720 0.000
-2.469 0.000 7.127
Nb Zn
5 5
Direct
0.000 0.000 0.000
0.079 0.500 0.812
0.476 0.500 0.618
0.670 0.500 0.004
0.813 0.000 0.625
0.204 0.000 0.405
0.285 0.500 0.219
0.406 0.000 0.812
0.611 0.000 0.219
0.877 0.500 0.404
```

The mass density comes out at 7.85 g cm⁻³. As for the total energy: -5.586 eV per atom.

***

Record 10
VASP calculation (PBE) on a geometry-optimized NbZn structure.

```
NbZn
1.0
7.066 0.000 0.000
0.000 13.177 0.000
0.000 0.000 4.202
Nb Zn
12 12
Direct
0.126 0.006 0.250
0.126 0.494 0.750
0.373 0.016 0.750
0.373 0.484 0.250
0.374 0.177 0.250
0.374 0.323 0.750
0.626 0.677 0.250
0.626 0.823 0.750
0.627 0.516 0.750
0.627 0.984 0.250
0.874 0.506 0.250
0.874 0.994 0.750
0.092 0.169 0.750
0.092 0.331 0.250
0.139 0.660 0.250
0.139 0.840 0.750
0.350 0.669 0.750
0.350 0.831 0.250
0.650 0.169 0.750
0.650 0.331 0.250
0.861 0.160 0.250
0.861 0.340 0.750
0.908 0.669 0.750
0.908 0.831 0.250
```

The mass density comes out at 8.06 g cm⁻³. As for the total energy: -5.690 eV per atom.

***

Record 11
VASP calculation (PBE) on a geometry-optimized NbZn2 structure.

```
NbZn2
1.0
4.384 2.531 7.152
-4.384 2.531 7.152
0.000 -5.062 7.152
Nb Zn
2 4
Direct
0.125 0.125 0.125
0.875 0.875 0.875
0.000 0.000 0.000
0.000 0.000 0.500
0.000 0.500 0.000
0.500 0.000 0.000
```

The mass density comes out at 1.56 g cm⁻³. As for the total energy: -2.305 eV per atom.

***

Record 12
VASP calculation (PBE) on a geometry-optimized NbZn6 structure.

```
NbZn6
1.0
0.000 3.906 3.906
3.906 0.000 3.906
3.906 3.906 0.000
Nb Zn
1 6
Direct
0.000 0.000 0.000
0.000 0.000 0.500
0.000 0.500 0.000
0.000 0.500 0.500
0.500 0.000 0.000
0.500 0.000 0.500
0.500 0.500 0.000
```

The mass density comes out at 6.76 g cm⁻³. As for the total energy: -2.515 eV per atom.

***

The following E_form values (in kcal/mol of atoms) correspond, in order, to the records above: -0.1, 10.1, 80.2, 1.3, 0.4, 2.7, -3.6, 7.5, 2.1, -0.3, 43.9, 0.3.